# 1
{
  "formula": "AgHgSe2",
  "functional": "PBE-GGA",
  "state": "relaxed",
  "e_form_raw_ev_per_atom": 0.22,
  "dos_at_fermi_per_ev_cell": 2.13,
  "magmom_total_mub_per_fu": 0.000,
  "final_energy_ev_per_cell": -9.26,
  "space_group": "Imm2, No. 44",
  "lattice": [[5.715, 0.009, 0.006], [0.825, 5.655, -0.006], [-1.839, -4.484, 3.028]],
  "species": ["Ag", "Hg", "Se", "Se"],
  "fractional_positions": [[0.487, 0.487, 0.000], [0.748, 0.248, 0.500], [0.018, 0.018, 0.000], [0.247, 0.747, 0.500]]
}

---

# 2
{
  "formula": "MgSc8Hg2",
  "functional": "PBE-GGA",
  "state": "relaxed",
  "dos_at_fermi_per_ev_cell": 16.04,
  "magmom_total_mub_per_fu": 0.017,
  "final_energy_ev_per_cell": -53.22,
  "space_group": "C2/m, No. 12",
  "lattice": [[-0.929, 4.915, -1.082], [0.443, -3.278, -7.379], [-6.280, -1.883, 4.733]],
  "species": ["Mg", "Sc", "Sc", "Sc", "Sc", "Sc", "Sc", "Sc", "Sc", "Hg", "Hg"],
  "fractional_positions": [[0.500, 0.000, 0.000], [0.884, 0.902, 0.676], [0.884, 0.676, 0.902], [0.300, 0.596, 0.596], [0.500, 0.780, 0.220], [0.500, 0.220, 0.780], [0.700, 0.404, 0.404], [0.116, 0.324, 0.098], [0.116, 0.098, 0.324], [0.000, 0.305, 0.695], [0.000, 0.695, 0.305]]
}

---

# 3
{
  "formula": "Al6Ga2W",
  "functional": "PBE-GGA",
  "state": "relaxed",
  "dos_at_fermi_per_ev_cell": 11.23,
  "magmom_total_mub_per_fu": 0.049,
  "final_energy_ev_per_cell": -75.40,
  "space_group": "P4_2/mnm, No. 136",
  "lattice": [[6.263, 0.000, 0.000], [0.000, 6.263, 0.000], [0.000, 0.000, 10.009]],
  "species": ["Al", "Al", "Al", "Al", "Al", "Al", "Al", "Al", "Al", "Al", "Al", "Al", "Ga", "Ga", "Ga", "Ga", "W", "W"],
  "fractional_positions": [[0.743, 0.743, 0.130], [0.743, 0.743, 0.870], [0.708, 0.708, 0.500], [0.792, 0.208, 0.000], [0.757, 0.243, 0.370], [0.757, 0.243, 0.630], [0.243, 0.757, 0.370], [0.243, 0.757, 0.630], [0.208, 0.792, 0.000], [0.292, 0.292, 0.500], [0.257, 0.257, 0.130], [0.257, 0.257, 0.870], [0.500, 0.500, 0.279], [0.500, 0.500, 0.721], [0.000, 0.000, 0.221], [0.000, 0.000, 0.779], [0.500, 0.500, 0.000], [0.000, 0.000, 0.500]]
}

---

# 4
{
  "formula": "CaIn4Pd6",
  "functional": "PBE-GGA",
  "state": "relaxed",
  "dos_at_fermi_per_ev_cell": 4.57,
  "magmom_total_mub_per_fu": 0.000,
  "final_energy_ev_per_cell": -48.06,
  "space_group": "I-42m, No. 121",
  "lattice": [[-5.853, -3.755, -0.973], [6.410, -2.808, -0.577], [2.069, 2.163, 6.352]],
  "species": ["Ca", "In", "In", "In", "In", "Pd", "Pd", "Pd", "Pd", "Pd", "Pd"],
  "fractional_positions": [[0.000, 0.000, 0.000], [0.000, 0.104, 0.531], [0.573, 0.469, 0.469], [0.000, 0.531, 0.104], [0.427, 0.896, 0.896], [0.000, 0.752, 0.431], [0.000, 0.431, 0.752], [0.679, 0.248, 0.248], [0.500, 0.000, 0.500], [0.321, 0.569, 0.569], [0.500, 0.500, 0.000]]
}